Here is a relaxed structure of Li5V3Ni2O10 from Alexandria. Energies are from PBE with a Hubbard U.

Values from the calculation:
calculated volume = 9.01 A^3/atom
SG = No. 2
electronic total energy = -6.198 eV per atom
DOS at the Fermi energy = 0.10 states/eV/cell

Cell lengths 5.1132, 7.8282, 6.4286 Å; angles 93.35, 60.33, 122.72 degrees
Site moments in Bohr magnetons follow the coordinates.
Fractional positions:
Li  0.6108  0.9071  0.5922  0.00
Ni  0.7042  0.3029  0.6894  1.75
O  0.4323  0.7975  0.9560  0.05
O  0.2502  0.0070  0.7606  0.02
O  0.8706  0.4111  0.3246  0.01
O  0.0275  0.1932  0.5756  -0.01
O  0.9725  0.8068  0.4244  -0.01
O  0.6885  0.6139  0.1381  0.01
O  0.1294  0.5889  0.6754  0.01
Li  0.1966  0.3001  0.2162  0.00
Li  0.3892  0.0929  0.4078  0.00
O  0.3115  0.3861  0.8619  0.01
Li  0.5000  0.5000  0.5000  0.00
Ni  0.2958  0.6971  0.3106  1.75
O  0.5677  0.2025  0.0440  0.05
V  0.0000  0.5000  0.0000  1.15
O  0.7498  0.9930  0.2394  0.02
V  0.0838  0.8995  0.1096  1.48
V  0.9162  0.1005  0.8904  1.48
Li  0.8034  0.6999  0.7838  0.00